Density functional theory data (PBE-GGA) for Mn3Br after structural relaxation.

```
8
Lattice="4.4112 -4.7313 0.0000 4.4112 4.7313 0.0000 0.0000 0.0000 3.2759" Properties=species:S:1:pos:R:3 pbc="T T T"
Mn 2.1554 1.1556 2.4569
Mn 6.6670 -1.1556 0.8190
Mn 6.6670 1.1556 2.4569
Mn 2.1554 -1.1556 0.8190
Mn 4.4112 -3.7403 0.8190
Mn 4.4112 3.7403 2.4569
Br 4.4112 -1.5256 2.4569
Br 4.4112 1.5256 0.8190
```

Results
SG = Cmcm (63)
Raw formation energy = 0.510 eV/atom
Size of the total moment = 11.3 μB per formula unit
Volume = 137 Å³ per cell



Density functional theory data (PBE-GGA) for Li2Ac3Pt4 after structural relaxation.

```
9
Lattice="4.4561 0.0000 0.0000 -2.2280 5.7735 -0.3403 0.0000 -2.8190 8.4433" Properties=species:S:1:pos:R:3 pbc="T T T"
Ac 2.2280 -0.3436 5.7651
Ac 0.0000 3.2981 2.3379
Ac 0.0000 0.0000 0.0000
Pt 0.0000 0.7259 7.6773
Pt 0.0000 -0.2089 3.3676
Pt 2.2280 3.1634 4.7354
Pt 2.2280 2.2286 0.4257
Li 2.2280 1.0029 2.7495
Li 0.0000 1.9516 5.3535
```

Results
Calculated formation energy = -0.91 eV/atom
SG = C2/m (12)
Size of the total moment = 0.0 μB per formula unit
Volume = 213 Å³ per cell



Density functional theory data (PBE-GGA) for Rb4Nd3ThS8 after structural relaxation.

```
16
Lattice="8.4074 0.0000 0.0000 0.0000 9.1147 0.4915 -4.2037 -4.1993 5.9482" Properties=species:S:1:pos:R:3 pbc="T T T"
S 0.0000 0.4972 3.3211
S 4.2037 0.4772 3.3663
S 4.2037 4.4182 3.1186
S 2.1438 2.2967 6.1069
S 6.3475 2.6188 0.3328
S 0.0000 4.4383 3.0733
S -2.1438 2.2967 6.1069
S 2.0599 2.6188 0.3328
Nd 4.2037 4.5574 0.2458
Nd 2.1018 2.4577 3.2198
Nd -2.1018 2.4577 3.2198
Rb -2.1018 -2.0996 2.9741
Rb 2.1018 -2.0996 2.9741
Rb 4.2037 0.0000 0.0000
Rb 0.0000 0.0000 0.0000
Th 0.0000 4.5574 0.2458
```

Results
SG = R-3m (166)
Raw formation energy = -1.786 eV/atom
Size of the total moment = 0.0 μB per formula unit
Volume = 473 Å³ per cell



Density functional theory data (PBE-GGA) for AcPmGdGa after structural relaxation.

```
4
Lattice="-5.4264 0.9050 0.7862 -2.6606 -2.5201 4.1776 -1.7181 2.9527 4.3832" Properties=species:S:1:pos:R:3 pbc="T T T"
Pm -4.9025 0.6688 4.6735
Ac -7.3538 1.0032 7.0103
Gd 0.0000 0.0000 0.0000
Ga -2.4513 0.3344 2.3368
```

Results
Calculated formation energy = 0.01 eV/atom
SG = F-43m (216)
Size of the total moment = 8.2 μB per formula unit
Volume = 121 Å³ per cell



Density functional theory data (PBE-GGA) for Tb4IrSe3 after structural relaxation.

```
16
Lattice="-1.6003 2.4196 4.9598 1.9386 -7.4054 4.2382 8.8989 3.1057 1.3561" Properties=species:S:1:pos:R:3 pbc="T T T"
Se 7.8002 -2.3404 4.0872
Se 6.4805 1.1150 5.3039
Se 1.9684 -0.4596 4.6163
Se 0.6767 -4.6697 6.2534
Se 3.4133 -3.8714 3.4187
Se 4.7050 0.3387 1.7816
Tb 2.8357 -2.8468 6.0607
Tb 2.5460 -1.4842 1.9743
Tb 1.5054 -5.9884 3.8359
Tb 3.8764 1.6574 4.1991
Tb 6.0014 -4.6135 4.6159
Tb 6.9036 -1.4271 6.6806
Tb -0.6197 0.2826 3.4193
Tb 7.3771 0.2018 2.7105
Ir 0.1654 -0.8698 0.9065
Ir 5.2163 -3.4612 7.1286
```

Results
SG = Pmmn (59)
Raw formation energy = -1.289 eV/atom
Size of the total moment = 0.0 μB per formula unit
Volume = 479 Å³ per cell



Density functional theory data (PBE-GGA) for Cs4Ac3ZrSe8 after structural relaxation.

```
16
Lattice="8.9713 0.0000 0.0000 0.0000 9.8733 0.6254 -4.4857 -4.4803 6.3481" Properties=species:S:1:pos:R:3 pbc="T T T"
Se 0.0000 4.8695 3.1614
Se 6.9253 2.9598 0.3637
Se 0.0000 0.5531 3.5594
Se 2.4397 2.4331 6.6098
Se -2.4397 2.4331 6.6098
Se 2.0460 2.9598 0.3637
Se 4.4857 4.8398 3.4140
Se 4.4857 0.5235 3.8121
Cs 4.4857 0.0000 0.0000
Cs 0.0000 0.0000 0.0000
Cs -2.2428 -2.2402 3.1740
Cs 2.2428 -2.2402 3.1740
Ac -2.2428 2.6965 3.4867
Ac 2.2428 2.6965 3.4867
Ac 4.4857 4.9366 0.3127
Zr 0.0000 4.9366 0.3127
```

Results
SG = R-3m (166)
Raw formation energy = -1.628 eV/atom
Size of the total moment = 0.8 μB per formula unit
Volume = 587 Å³ per cell



Density functional theory data (PBE-GGA) for Cd6InAu12 after structural relaxation.

```
19
Lattice="-4.7325 0.8133 -5.7944 -5.1782 -3.3245 4.3321 -1.4744 6.8538 2.7357" Properties=species:S:1:pos:R:3 pbc="T T T"
Au -6.5873 2.5434 -2.0347
Au -5.3474 4.5803 2.1041
Au -7.0545 0.1194 2.0545
Au -6.0377 -0.2376 -0.8307
Au -4.3306 4.2232 -0.7811
Au -6.3405 0.2608 -3.6067
Au -3.5185 6.3255 0.9415
Au -5.6053 4.9638 -3.1410
Au -5.0446 4.0818 4.8801
Au -4.7978 1.7993 3.3081
Au -5.7798 -0.6211 4.4144
Au -7.8665 -1.9828 0.3319
Cd -7.4286 2.8312 2.7542
Cd -3.9565 1.5114 -1.4808
Cd -8.2967 1.3927 -0.1016
Cd -3.0884 2.9500 1.3750
Cd -4.2696 -0.1457 1.3713
Cd -7.1155 4.4884 -0.0979
In 0.0000 0.0000 0.0000
```

Results
Calculated formation energy = -0.02 eV/atom
SG = R-3 (148)
Size of the total moment = 0.0 μB per formula unit
Volume = 424 Å³ per cell



Density functional theory data (PBE-GGA) for SiNi7Ge2 after structural relaxation.

```
10
Lattice="3.5773 0.0000 -0.6883 -0.1324 3.5748 -0.6883 0.0196 0.0204 9.7418" Properties=species:S:1:pos:R:3 pbc="T T T"
Ge 1.1530 1.1965 5.9922
Ge 2.3115 2.3987 2.3730
Ni 3.2278 1.4935 7.1352
Ni 1.7224 1.7874 -0.6883
Ni 2.6596 0.9039 4.1826
Ni 0.2366 2.1017 1.2299
Ni 1.3729 3.2809 7.1352
Ni 2.0915 0.3143 1.2299
Ni 0.8048 2.6913 4.1826
Si 0.0000 0.0000 0.0000
```

Results
SG = I4/mmm (139)
Raw formation energy = -0.281 eV/atom
Size of the total moment = 0.0 μB per formula unit
Volume = 125 Å³ per cell



Density functional theory data (PBE-GGA) for Cs2AgBi2 after structural relaxation.

```
5
Lattice="-3.9447 -1.5546 -2.2565 -0.7571 -5.4109 5.0514 -1.1486 7.2565 2.1204" Properties=species:S:1:pos:R:3 pbc="T T T"
Ag 0.0000 0.0000 0.0000
Bi -2.1350 -1.9393 -0.0435
Bi -2.5669 -5.0262 2.8383
Cs -4.0692 1.4838 0.9795
Cs -1.7813 -1.1929 3.9357
```

Results
Calculated formation energy = -0.27 eV/atom
SG = Immm (71)
Size of the total moment = 0.0 μB per formula unit
Volume = 223 Å³ per cell



Density functional theory data (PBE-GGA) for Ac2Mg6Au3 after structural relaxation.

```
11
Lattice="4.2383 0.0000 0.0000 0.0000 8.7425 0.0000 0.0000 -4.3712 7.5712" Properties=species:S:1:pos:R:3 pbc="T T T"
Ac 0.0000 0.0000 5.0475
Ac 0.0000 4.3712 2.5237
Mg 0.0000 0.8643 1.4970
Mg 0.0000 -3.5069 6.0742
Mg 2.1192 -1.2855 2.2266
Mg 0.0000 7.0138 0.0000
Mg 2.1192 2.5711 0.0000
Mg 2.1192 3.0857 5.3446
Au 2.1192 5.3354 0.0000
Au 2.1192 -2.6677 4.6206
Au 2.1192 1.7035 2.9506
```

Results
Calculated formation energy = -0.45 eV/atom
SG = P-62m (189)
Size of the total moment = 0.0 μB per formula unit
Volume = 281 Å³ per cell



Density functional theory data (PBE-GGA) for Tm5Al4Au after structural relaxation.

```
10
Lattice="3.5461 0.0000 0.0000 0.0000 3.5461 0.0000 0.0000 0.0000 17.8555" Properties=species:S:1:pos:R:3 pbc="T T T"
Al 0.0000 0.0000 14.2533
Al 0.0000 0.0000 3.6022
Al 0.0000 0.0000 10.6915
Al 0.0000 0.0000 7.1639
Tm 1.7731 1.7731 16.0980
Tm 1.7731 1.7731 12.4772
Tm 1.7731 1.7731 5.3783
Tm 1.7731 1.7731 8.9277
Tm 1.7731 1.7731 1.7575
Au 0.0000 0.0000 0.0000
```

Results
Calculated formation energy = -0.48 eV/atom
SG = P4/mmm (123)
Size of the total moment = 0.0 μB per formula unit
Volume = 225 Å³ per cell



Density functional theory data (PBE-GGA) for CaMg2Cl after structural relaxation.

```
4
Lattice="-0.3536 -3.5849 0.8402 3.5341 -1.3997 -4.4846 4.4283 0.3551 3.3789" Properties=species:S:1:pos:R:3 pbc="T T T"
Ca 2.6973 -2.4035 -0.9775
Mg 4.4275 0.3551 3.3783
Mg 2.2150 0.1776 1.6901
Cl 4.9115 -2.2259 0.7120
```

Results
SG = Pmmm (47)
Raw formation energy = -0.396 eV/atom
Size of the total moment = 0.0 μB per formula unit
Volume = 121 Å³ per cell